DFT (PBE) results for an optimized crystal structure of CaZrCo2.

Values from the calculation:
**Space-group type**: I-4m2
**Energy of formation**: 0.343 eV/atom
**E_tot**: -46.782 eV/cell
**Magnetic moment**: 0.137 μB/atom

Structure (POSCAR):
```
CaZrCo2
1.0
3.784 0.000 0.000
0.000 3.784 0.000
0.000 0.000 9.651
Ca Zr Co
2 2 4
direct
0.000 0.000 0.000
0.500 0.500 0.500
0.000 0.500 0.250
0.500 0.000 0.750
0.000 0.000 0.500
0.000 0.500 0.750
0.500 0.000 0.250
0.500 0.500 0.000
```

=====

DFT (PBE) results for an optimized crystal structure of RbNa4Cl5.

Values from the calculation:
**Space-group type**: C2/m
**E_tot**: -33.484 eV/cell
**Magnetic moment**: 0.000 μB/atom

Structure (POSCAR):
```
RbNa4Cl5
1.0
6.883 -2.064 0.000
6.883 2.064 0.000
-5.022 0.000 9.154
Rb Na Cl
1 4 5
direct
0.000 0.000 0.000
0.194 0.194 0.777
0.401 0.401 0.595
0.599 0.599 0.405
0.806 0.806 0.223
0.000 0.000 0.500
0.208 0.208 0.320
0.390 0.390 0.127
0.610 0.610 0.873
0.792 0.792 0.680
```